Crystalline Na2SrV2O7 at its relaxed geometry. Source: Alexandria, functional PBE+U.

Lattice parameters (Å, degrees): 8.5211 8.5211 8.5211 40.05 40.05 40.05
Closest atoms and distances in Å follow each position.
Positions (direct):
1 Na 0.2504 0.2504 0.2504  3 O 2.27
2 Na 0.7496 0.7496 0.7496  3 O 2.27
3 Sr 0.0000 0.0000 0.0000  6 O 2.54
4 V 0.4227 0.4227 0.4227  4 O 1.72-1.82
5 V 0.5773 0.5773 0.5773  4 O 1.72-1.82
6 O 0.1343 0.3724 0.6901  1 V 1.72
7 O 0.3099 0.6276 0.8657  1 V 1.72
8 O 0.3724 0.6901 0.1343  1 V 1.72
9 O 0.5000 0.5000 0.5000  2 V 1.82
10 O 0.6276 0.8657 0.3099  1 V 1.72
11 O 0.6901 0.1343 0.3724  1 V 1.72
12 O 0.8657 0.3099 0.6276  1 V 1.72

Results
Energy (eV/atom): -6.651
Magnetic moment (μB/cell): 0.00
Crystal system: trigonal